A relaxed TeI2BrF crystal, computed with PBE-GGA.

Cell and atoms, written as POSCAR:
```
TeI2BrF
1.0
-5.173 2.442 1.489
-2.346 -5.383 0.679
1.627 0.004 5.648
I Te Br F
2 1 1 1
Direct
0.000 0.500 0.000
0.500 0.000 0.000
0.000 0.000 0.500
0.000 0.000 0.000
0.500 0.500 0.500
```

relative energy among the computed polymorphs = 419.2 meV per atom
E_form (uncorrected) = 0.50 eV per atom